VASP calculation (GGA-PBE) on a relaxed structure of AlSn2Cl8.

abc: 7.3523 7.3523 7.2689
angles: 90.72 90.72 57.68
Closest atoms and distances in Å follow each position.
Atoms (fractional coordinates):
Al 0.0000 0.0000 0.0000  6 Cl 2.33-2.36
Sn 0.1210 0.1210 0.4555  3 Cl 2.41-2.63
Sn 0.8790 0.8790 0.5445  3 Cl 2.41-2.63
Cl 0.1539 0.1539 0.8362  1 Al 2.33
Cl 0.1674 0.6909 0.8086  1 Al 2.36, 1 Sn 2.63
Cl 0.3063 0.3063 0.4105  1 Sn 2.41
Cl 0.3091 0.8326 0.1914  1 Al 2.36, 1 Sn 2.63
Cl 0.6909 0.1674 0.8086  1 Al 2.36, 1 Sn 2.63
Cl 0.6937 0.6937 0.5895  1 Sn 2.41
Cl 0.8326 0.3091 0.1914  1 Al 2.36, 1 Sn 2.63
Cl 0.8461 0.8461 0.1638  1 Al 2.33

Computed properties:
ΔE_f (raw) in eV per atom: -1.0452
Symmetry: C2/m
Excess energy over the best structure of this formula in the dataset in meV per atom: 48

---

VASP calculation (GGA-PBE) on a relaxed structure of AlSnCl2.

abc: 9.6511 9.6511 9.6511
angles: 21.02 21.02 21.02
Closest atoms and distances in Å follow each position.
Atoms (fractional coordinates):
Al 0.0000 0.0000 0.0000  6 Cl 2.83
Sn 0.5000 0.5000 0.5000  2 Cl 2.75
Cl 0.4028 0.4028 0.4028  1 Sn 2.75, 3 Al 2.83
Cl 0.5972 0.5972 0.5972  1 Sn 2.75, 3 Al 2.83

Computed properties:
ΔE_f (raw) in eV per atom: -0.4209
Symmetry: R-3m
Excess energy over the best structure of this formula in the dataset in meV per atom: 26

---

VASP calculation (GGA-PBE) on a relaxed structure of AlSnCl6.

abc: 6.7075 6.7075 6.5129
angles: 118.85 118.85 63.25
Closest atoms and distances in Å follow each position.
Atoms (fractional coordinates):
Al 0.0000 0.0000 0.0000  6 Cl 2.34-2.38
Sn 0.5000 0.5000 0.5000  6 Cl 2.64-2.70
Cl 0.1569 0.6972 0.6896  1 Al 2.34
Cl 0.2316 0.2316 0.0852  1 Al 2.38
Cl 0.3028 0.8431 0.3104  1 Al 2.34
Cl 0.6972 0.1569 0.6896  1 Al 2.34
Cl 0.7684 0.7684 0.9148  1 Al 2.38
Cl 0.8431 0.3028 0.3104  1 Al 2.34

Computed properties:
ΔE_f (raw) in eV per atom: -1.0472
Symmetry: C2/m

---

Question: Which formula does entry 2 have?
Answer: AlSnCl2